The following is a PBE calculation of crystalline As3PdCl at its relaxed geometry, from Alexandria via LeMat-Bulk.

Geometry as POSCAR:
```
As3PdCl
1.0
-3.113 3.550 1.485
-3.848 -2.854 -1.244
-0.036 -1.937 4.555
As Pd Cl
3 1 1
Cartesian
-1.924 -1.427 -0.622 As
-0.018 -0.968 2.277 As
-1.557 1.775 0.742 As
0.000 0.000 0.000 Pd
-3.498 -0.621 2.398 Cl
```

Output
space group = Pm-3m (221)
energy above the lowest structure with this stoichiometry = 0.000 eV/atom
energy = -17.9 eV/f.u.

***

The following is a PBE calculation of crystalline AsPdCl2 at its relaxed geometry, from Alexandria via LeMat-Bulk.

Geometry as POSCAR:
```
AsPdCl2
1.0
-4.327 -0.584 -0.800
-0.781 -0.191 4.366
-3.704 7.925 1.940
As Pd Cl
2 2 4
Cartesian
-2.554 -0.387 1.783 As
-3.520 3.673 4.044 As
0.000 0.000 0.000 Pd
-5.293 3.477 1.462 Pd
-3.746 1.590 0.528 Cl
-1.938 1.791 3.117 Cl
-4.691 5.654 2.774 Cl
-7.252 5.265 4.593 Cl
```

Output
space group = I-42d (122)
energy above the lowest structure with this stoichiometry = 0.100 eV/atom
energy = -12.9 eV/f.u.

***

The following is a PBE calculation of crystalline AsPdCl2 at its relaxed geometry, from Alexandria via LeMat-Bulk.

Geometry as POSCAR:
```
AsPdCl2
1.0
-7.243 4.397 -3.127
-7.000 5.705 -0.193
-5.241 6.871 -2.627
As Pd Cl
1 1 2
Cartesian
-9.742 8.487 -2.974 As
0.000 0.000 0.000 Pd
-17.794 15.502 -5.432 Cl
-1.689 1.472 -0.516 Cl
```

Output
space group = R-3m (166)
energy above the lowest structure with this stoichiometry = 0.055 eV/atom
energy = -13.1 eV/f.u.

***

The following is a PBE calculation of crystalline AsPd3Cl at its relaxed geometry, from Alexandria via LeMat-Bulk.

Geometry as POSCAR:
```
AsPd3Cl
1.0
4.719 0.000 0.000
0.000 4.719 0.000
0.000 0.000 4.719
As Pd Cl
1 3 1
Cartesian
0.000 0.000 0.000 As
0.000 2.359 0.000 Pd
0.000 0.000 2.359 Pd
2.359 0.000 0.000 Pd
2.359 2.359 2.359 Cl
```

Output
space group = Pm-3m (221)
energy above the lowest structure with this stoichiometry = 0.000 eV/atom
energy = -21.1 eV/f.u.

***

The following is a PBE calculation of crystalline AsPd2Cl at its relaxed geometry, from Alexandria via LeMat-Bulk.

Geometry as POSCAR:
```
AsPd2Cl
1.0
-4.418 -0.854 0.652
-3.055 3.334 -0.479
-2.857 -0.025 -3.537
As Pd Cl
1 2 1
Cartesian
-5.165 1.227 -1.682 As
-2.583 0.614 -0.841 Pd
-7.748 1.841 -2.523 Pd
0.000 0.000 0.000 Cl
```

Output
space group = Fm-3m (225)
energy above the lowest structure with this stoichiometry = 0.137 eV/atom
energy = -16.9 eV/f.u.

***

The following is a PBE calculation of crystalline AsPd3Cl at its relaxed geometry, from Alexandria via LeMat-Bulk.

Geometry as POSCAR:
```
AsPd3Cl
1.0
-1.705 0.118 4.257
-4.258 0.010 -1.706
-0.053 -4.586 0.106
As Pd Cl
1 3 1
Cartesian
-3.008 -2.229 1.329 As
-2.129 0.005 -0.853 Pd
-0.027 -2.293 0.053 Pd
-0.852 0.059 2.129 Pd
0.000 0.000 0.000 Cl
```

Output
space group = Pm-3m (221)
energy above the lowest structure with this stoichiometry = 0.333 eV/atom
energy = -19.4 eV/f.u.

***

The following is a PBE calculation of crystalline As3PdCl at its relaxed geometry, from Alexandria via LeMat-Bulk.

Geometry as POSCAR:
```
As3PdCl
1.0
-3.710 1.974 2.312
-3.026 -2.750 -2.507
0.294 -3.398 3.373
As Pd Cl
3 1 1
Cartesian
-1.513 -1.375 -1.254 As
0.147 -1.699 1.686 As
-1.855 0.987 1.156 As
-3.221 -2.087 1.589 Pd
0.000 0.000 0.000 Cl
```

Output
space group = Pm-3m (221)
energy above the lowest structure with this stoichiometry = 0.527 eV/atom
energy = -15.3 eV/f.u.

***

The following is a PBE calculation of crystalline As2PdCl8 at its relaxed geometry, from Alexandria via LeMat-Bulk.

Geometry as POSCAR:
```
As2PdCl8
1.0
-5.262 -0.730 3.406
6.465 0.217 7.020
4.106 7.121 4.854
As Pd Cl
2 1 8
Cartesian
4.595 5.422 12.278 As
0.714 1.186 3.002 As
0.000 0.000 0.000 Pd
4.257 5.979 6.881 Cl
-0.278 4.523 7.177 Cl
6.137 5.462 10.725 Cl
-0.828 1.146 4.554 Cl
5.587 2.085 8.102 Cl
1.052 0.629 8.399 Cl
2.982 4.464 10.980 Cl
2.327 2.144 4.300 Cl
```

Output
space group = C2/m (12)
energy = -34.8 eV/f.u.

***

The following is a PBE calculation of crystalline As2PdCl at its relaxed geometry, from Alexandria via LeMat-Bulk.

Geometry as POSCAR:
```
As2PdCl
1.0
-4.692 -3.217 -2.429
2.923 -0.149 -5.450
1.583 -6.377 -2.488
As Pd Cl
4 2 2
Cartesian
-2.448 -3.814 -2.965 As
1.913 -1.899 -4.188 As
0.351 -6.036 -4.499 As
-0.188 -7.737 -9.082 As
0.000 0.000 0.000 Pd
-1.997 -5.639 -4.428 Pd
-0.884 -1.683 -3.939 Cl
1.811 -4.104 -5.938 Cl
```

Output
space group = I-42d (122)
energy above the lowest structure with this stoichiometry = 0.000 eV/atom
energy = -15.7 eV/f.u.

***

The following is a PBE calculation of crystalline AsPdCl2 at its relaxed geometry, from Alexandria via LeMat-Bulk.

Geometry as POSCAR:
```
AsPdCl2
1.0
0.000 3.323 3.323
3.323 0.000 3.323
3.323 3.323 0.000
As Pd Cl
1 1 2
Cartesian
0.000 0.000 0.000 As
3.323 3.323 3.323 Pd
1.662 1.662 1.662 Cl
4.985 4.985 4.985 Cl
```

Output
space group = Fm-3m (225)
energy above the lowest structure with this stoichiometry = 0.268 eV/atom
energy = -12.2 eV/f.u.

***

The following is a PBE calculation of crystalline AsPd2Cl at its relaxed geometry, from Alexandria via LeMat-Bulk.

Geometry as POSCAR:
```
AsPd2Cl
1.0
6.401 0.000 0.000
0.000 6.401 0.000
3.200 3.200 4.109
As Pd Cl
2 4 2
Cartesian
0.000 0.000 0.000 As
6.401 3.200 2.055 As
4.980 1.600 1.027 Pd
1.421 4.800 1.027 Pd
4.800 4.621 3.082 Pd
8.001 8.180 3.082 Pd
3.200 3.200 0.000 Cl
3.200 6.401 2.055 Cl
```

Output
space group = I-42d (122)
energy above the lowest structure with this stoichiometry = 0.000 eV/atom
energy = -17.5 eV/f.u.

***

The following is a PBE calculation of crystalline As2PdCl at its relaxed geometry, from Alexandria via LeMat-Bulk.

Geometry as POSCAR:
```
As2PdCl
1.0
0.000 3.280 3.280
3.280 0.000 3.280
3.280 3.280 0.000
As Pd Cl
2 1 1
Cartesian
1.640 1.640 1.640 As
4.920 4.920 4.920 As
3.280 3.280 3.280 Pd
0.000 0.000 0.000 Cl
```

Output
space group = Fm-3m (225)
energy above the lowest structure with this stoichiometry = 0.137 eV/atom
energy = -15.2 eV/f.u.

***

The following is a PBE calculation of crystalline AsPdCl2 at its relaxed geometry, from Alexandria via LeMat-Bulk.

Geometry as POSCAR:
```
AsPdCl2
1.0
-3.606 7.749 0.196
-3.484 6.962 3.531
-0.727 8.285 1.979
As Pd Cl
1 1 2
Cartesian
0.000 0.000 0.000 As
-3.909 11.498 2.853 Pd
-7.050 20.740 5.147 Cl
-0.767 2.256 0.560 Cl
```

Output
space group = R-3m (166)
energy above the lowest structure with this stoichiometry = 0.000 eV/atom
energy = -13.3 eV/f.u.

***

The following is a PBE calculation of crystalline AsPdRuCl2 at its relaxed geometry, from Alexandria via LeMat-Bulk.

Geometry as POSCAR:
```
AsPdRuCl2
1.0
-0.253 4.983 0.408
-3.996 -0.406 2.474
2.648 -0.212 4.243
Ru As Pd Cl
1 1 1 2
Cartesian
-1.998 -0.203 1.237 Ru
0.000 0.000 0.000 As
-0.801 2.182 3.562 Pd
1.324 -0.106 2.121 Cl
-0.127 2.492 0.204 Cl
```

Output
space group = P4/mmm (123)
energy = -18.7 eV/f.u.

***

The following is a PBE calculation of crystalline AsPdSCl2 at its relaxed geometry, from Alexandria via LeMat-Bulk.

Geometry as POSCAR:
```
AsPdSCl2
1.0
-0.885 3.902 2.879
-3.854 1.210 -2.824
-2.897 -2.715 2.790
As S Pd Cl
1 1 1 2
Cartesian
0.000 0.000 0.000 As
-1.448 -1.358 1.395 S
-3.818 1.198 1.422 Pd
-1.927 0.605 -1.412 Cl
-0.442 1.951 1.439 Cl
```

Output
space group = P4/mmm (123)
energy above the lowest structure with this stoichiometry = 0.011 eV/atom
energy = -15.9 eV/f.u.

***

The following is a PBE calculation of crystalline AsPdSCl2 at its relaxed geometry, from Alexandria via LeMat-Bulk.

Geometry as POSCAR:
```
AsPdSCl2
1.0
-1.101 -1.152 -4.486
-4.271 -1.532 1.442
-1.823 4.433 -0.691
As S Pd Cl
1 1 1 2
Cartesian
-3.597 0.875 -1.868 As
-0.912 2.217 -0.345 S
0.000 0.000 0.000 Pd
-2.135 -0.766 0.721 Cl
-0.550 -0.576 -2.243 Cl
```

Output
space group = P4/mmm (123)
energy above the lowest structure with this stoichiometry = 0.000 eV/atom
energy = -16.0 eV/f.u.

***

The following is a PBE calculation of crystalline AsPdS2Cl at its relaxed geometry, from Alexandria via LeMat-Bulk.

Geometry as POSCAR:
```
AsPdS2Cl
1.0
4.722 0.000 0.000
0.000 4.722 0.000
0.000 0.000 4.675
As S Pd Cl
1 2 1 1
Cartesian
2.361 2.361 2.338 As
0.000 2.361 0.000 S
2.361 0.000 0.000 S
0.000 0.000 0.000 Pd
0.000 0.000 2.338 Cl
```

Output
space group = P4/mmm (123)
energy above the lowest structure with this stoichiometry = 0.000 eV/atom
energy = -17.5 eV/f.u.

***

The following is a PBE calculation of crystalline AsPdSe2Cl at its relaxed geometry, from Alexandria via LeMat-Bulk.

Geometry as POSCAR:
```
AsPdSe2Cl
1.0
-0.107 4.899 0.596
-0.840 0.569 -4.831
-4.923 -0.209 0.832
As Se Pd Cl
1 2 1 1
Cartesian
-2.461 -0.104 0.416 As
-0.420 0.285 -2.415 Se
-0.054 2.449 0.298 Se
0.000 0.000 0.000 Pd
-2.935 2.630 -1.702 Cl
```

Output
space group = P4/mmm (123)
energy above the lowest structure with this stoichiometry = 0.000 eV/atom
energy = -16.0 eV/f.u.

***

The following is a PBE calculation of crystalline AsPdSe2Cl at its relaxed geometry, from Alexandria via LeMat-Bulk.

Geometry as POSCAR:
```
AsPdSe2Cl
1.0
4.926 0.000 0.000
0.000 4.926 0.000
0.000 0.000 4.875
As Se Pd Cl
1 2 1 1
Cartesian
0.000 0.000 2.438 As
0.000 2.463 0.000 Se
2.463 0.000 0.000 Se
2.463 2.463 2.438 Pd
0.000 0.000 0.000 Cl
```

Output
space group = P4/mmm (123)
energy above the lowest structure with this stoichiometry = 0.611 eV/atom
energy = -12.9 eV/f.u.

***

The following is a PBE calculation of crystalline As2PdSeCl at its relaxed geometry, from Alexandria via LeMat-Bulk.

Geometry as POSCAR:
```
As2PdSeCl
1.0
4.946 0.000 0.000
0.000 4.946 0.000
0.000 0.000 4.953
As Se Pd Cl
2 1 1 1
Cartesian
0.000 2.473 0.000 As
2.473 0.000 0.000 As
0.000 0.000 2.476 Se
0.000 0.000 0.000 Pd
2.473 2.473 2.476 Cl
```

Output
space group = P4/mmm (123)
energy above the lowest structure with this stoichiometry = 0.000 eV/atom
energy = -17.0 eV/f.u.

***

The following is a PBE calculation of crystalline As2PdSeCl at its relaxed geometry, from Alexandria via LeMat-Bulk.

Geometry as POSCAR:
```
As2PdSeCl
1.0
-2.713 2.995 2.576
-2.793 -3.664 1.317
2.939 -0.795 4.019
As Se Pd Cl
2 1 1 1
Cartesian
-1.397 -1.832 0.659 As
-1.356 1.497 1.288 As
1.469 -0.398 2.010 Se
-1.284 -0.732 3.956 Pd
0.000 0.000 0.000 Cl
```

Output
space group = P4/mmm (123)
energy above the lowest structure with this stoichiometry = 0.568 eV/atom
energy = -14.2 eV/f.u.

***

The following is a PBE calculation of crystalline SiAsPdCl2 at its relaxed geometry, from Alexandria via LeMat-Bulk.

Geometry as POSCAR:
```
SiAsPdCl2
1.0
4.723 0.000 0.000
0.000 5.132 0.000
0.000 0.000 4.723
As Si Pd Cl
1 1 1 2
Cartesian
0.000 2.566 0.000 As
2.362 2.566 2.362 Si
0.000 0.000 0.000 Pd
0.000 0.000 2.362 Cl
2.362 0.000 0.000 Cl
```

Output
space group = P4/mmm (123)
energy = -17.1 eV/f.u.

***

The following is a PBE calculation of crystalline SnAs2PdCl at its relaxed geometry, from Alexandria via LeMat-Bulk.

Geometry as POSCAR:
```
SnAs2PdCl
1.0
-4.443 -0.680 1.762
1.007 -5.119 0.563
1.646 0.815 4.465
As Sn Pd Cl
2 1 1 1
Cartesian
0.823 0.407 2.233 As
-2.222 -0.340 0.881 As
0.503 -2.559 0.281 Sn
-0.895 -2.492 3.395 Pd
0.000 0.000 0.000 Cl
```

Output
space group = P4/mmm (123)
energy = -15.9 eV/f.u.

***

The following is a PBE calculation of crystalline TeAs2PdCl at its relaxed geometry, from Alexandria via LeMat-Bulk.

Geometry as POSCAR:
```
TeAs2PdCl
1.0
-2.046 -2.560 -4.252
3.175 -3.904 0.822
-3.668 -2.318 3.161
As Te Pd Cl
2 1 1 1
Cartesian
-1.834 -1.159 1.581 As
-1.023 -1.280 -2.126 As
0.000 0.000 0.000 Te
-1.270 -4.391 -0.134 Pd
1.588 -1.952 0.411 Cl
```

Output
space group = P4/mmm (123)
energy = -14.6 eV/f.u.

***

The following is a PBE calculation of crystalline TlAsPd2Cl at its relaxed geometry, from Alexandria via LeMat-Bulk.

Geometry as POSCAR:
```
TlAsPd2Cl
1.0
5.189 0.000 0.000
0.000 5.255 0.000
0.000 0.000 5.189
Tl As Pd Cl
1 1 2 1
Cartesian
0.000 0.000 0.000 Tl
0.000 2.628 0.000 As
0.000 0.000 2.594 Pd
2.594 0.000 0.000 Pd
2.594 2.628 2.594 Cl
```

Output
space group = P4/mmm (123)
energy = -14.8 eV/f.u.

***

The following is a PBE calculation of crystalline TlAsPdCl6 at its relaxed geometry, from Alexandria via LeMat-Bulk.

Geometry as POSCAR:
```
TlAsPdCl6
1.0
-5.919 -1.075 -2.710
-4.381 -3.863 3.069
-2.604 5.680 3.433
Tl As Pd Cl
1 1 1 6
Cartesian
-8.523 4.605 0.723 Tl
-4.735 1.194 1.836 As
-8.169 -0.452 1.956 Pd
-2.400 0.274 2.149 Cl
-4.010 3.580 1.417 Cl
-7.168 1.885 1.827 Cl
-4.599 1.545 4.337 Cl
-5.716 -1.134 1.964 Cl
-4.518 1.012 -0.677 Cl
```

Output
space group = P312 (149)
energy = -28.8 eV/f.u.

***

The following is a PBE calculation of crystalline PmAsCl6 at its relaxed geometry, from Alexandria via LeMat-Bulk.

Geometry as POSCAR:
```
PmAsCl6
1.0
7.074 -0.841 -0.173
-3.412 6.254 -0.173
-0.845 -1.249 6.348
Pm As Cl
1 1 6
Cartesian
0.000 0.000 0.000 Pm
1.409 2.082 3.002 As
0.318 0.470 4.597 Cl
2.223 0.147 1.603 Cl
2.499 3.694 1.406 Cl
3.507 2.046 4.400 Cl
0.594 4.017 4.400 Cl
-0.690 2.118 1.603 Cl
```

Output
space group = C2/m (12)
energy = -31.7 eV/f.u.

***

The following is a PBE calculation of crystalline Pm5As4Cl at its relaxed geometry, from Alexandria via LeMat-Bulk.

Geometry as POSCAR:
```
Pm5As4Cl
1.0
-2.970 3.011 0.174
-1.346 -0.997 -5.703
-4.980 -8.216 5.709
Pm As Cl
5 4 1
Cartesian
-3.034 -0.059 0.726 Pm
-5.775 -2.828 1.857 Pm
-3.520 -3.374 -1.677 Pm
-0.673 -0.499 -2.851 Pm
-6.261 -6.143 -0.546 Pm
-5.742 -5.800 2.369 As
-6.435 -3.313 -1.000 As
-2.860 -2.888 1.180 As
-3.553 -0.402 -2.189 As
0.000 0.000 0.000 Cl
```

Output
space group = Immm (71)
energy = -59.8 eV/f.u.